No. 1
## LaVMo2 (PBE)

Data for an optimized crystal structure of LaVMo2.

```
data_LaVMo2
_cell_length_a 4.229
_cell_length_b 5.517
_cell_length_c 13.331
_cell_angle_alpha 90.00
_cell_angle_beta 90.00
_cell_angle_gamma 90.00
_space_group_name_H-M_alt 'I m m 2'
_space_group_IT_number 44
_space_group_name_Hall 'I 2 -2'
loop_
_atom_site_label
_atom_site_type_symbol
_atom_site_fract_x
_atom_site_fract_y
_atom_site_fract_z
La1 La 0.000 0.000 0.000
La2 La 0.000 0.500 0.340
V1 V 0.000 0.500 0.107
V2 V 0.000 0.500 0.866
Mo1 Mo 0.000 0.000 0.233
Mo2 Mo 0.000 0.000 0.472
Mo3 Mo 0.000 0.245 0.670
```

Properties
Calculated density ... 8.2 g cm⁻³
Total magnetization ... 0.000 μB per atom
Offset from the most stable computed form ... 0.00 eV per formula unit
Formation enthalpy at 0 K ... 0.331 eV/atom


No. 2
## NdAl4Cu2Au (PBE)

Data for an optimized crystal structure of NdAl4Cu2Au.

```
data_NdAl4Cu2Au
_cell_length_a 4.2438
_cell_length_b 4.2438
_cell_length_c 27.6819
_cell_angle_alpha 90.00
_cell_angle_beta 90.00
_cell_angle_gamma 120.00
_space_group_name_H-M_alt 'R -3 m'
_space_group_IT_number 166
_space_group_name_Hall '-R 3 2"'
loop_
_atom_site_label
_atom_site_type_symbol
_atom_site_fract_x
_atom_site_fract_y
_atom_site_fract_z
Nd1 Nd 0.0000 0.0000 0.0000
Al1 Al 0.0000 0.0000 0.1224
Al2 Al 0.0000 0.0000 0.4041
Cu1 Cu 0.0000 0.0000 0.2487
Au1 Au 0.0000 0.0000 0.5000
```

Properties
Calculated density ... 6.6 g cm⁻³
Total magnetization ... 0.000 μB per atom
Formation enthalpy at 0 K ... -0.336 eV/atom